# 1
Pr2DyAl | PBE | optimized geometry

abc: 3.6963 3.6963 10.9479
angles: 80.28 80.28 60.00
Each line ends with the local moment (μB).
Positions (direct):
Pr 0.0734 0.0734 0.7799  0.06
Pr 0.2601 0.2601 0.2198  0.03
Dy 0.5002 0.5002 0.4995  0.23
Al 0.6664 0.6664 0.0008  0.00

ΔE to the lowest computed polymorph, meV/atom: 166
DFT total energy, eV for the cell shown: -17.92
Calculated formation energy, kJ/mol of atoms: 0
Symmetry: No. 160



# 2
SrCaSn14 | PBE | optimized geometry

abc: 6.7628 6.7628 9.7616
angles: 90.00 90.00 90.00
Positions (direct):
Sr 0.8750 0.8750 0.5000
Ca 0.3750 0.3750 0.5000
Sn 0.8750 0.8750 0.0000
Sn 0.3750 0.3750 0.0000
Sn 0.8750 0.3750 0.5000
Sn 0.8750 0.3750 0.0000
Sn 0.3750 0.8750 0.5000
Sn 0.3750 0.8750 0.0000
Sn 0.6208 0.1292 0.2469
Sn 0.6208 0.1292 0.7531
Sn 0.1292 0.6208 0.2469
Sn 0.1292 0.6208 0.7531
Sn 0.6208 0.6208 0.2469
Sn 0.6208 0.6208 0.7531
Sn 0.1292 0.1292 0.2469
Sn 0.1292 0.1292 0.7531

DFT total energy, eV for the cell shown: -61.96
Calculated formation energy, kJ/mol of atoms: -13
Symmetry: No. 123



# 3
LiYP2Rh5 | PBE | optimized geometry

abc: 4.0645 4.0645 8.5540
angles: 90.00 90.00 90.00
Positions (direct):
Li 0.0000 0.0000 0.0000
Y 0.0000 0.0000 0.5000
P 0.5000 0.5000 0.1317
P 0.5000 0.5000 0.8683
Rh 0.0000 0.5000 0.2520
Rh 0.5000 0.0000 0.2520
Rh 0.0000 0.5000 0.7480
Rh 0.5000 0.0000 0.7480
Rh 0.5000 0.5000 0.5000

DFT total energy, eV for the cell shown: -62.41
Calculated formation energy, kJ/mol of atoms: -69
Symmetry: No. 123



# 4
Cs2RbCdAs | PBE | optimized geometry

abc: 7.1388 7.1388 6.8233
angles: 90.00 90.00 90.00
Each line ends with the local moment (μB).
Positions (direct):
Cs 0.0000 0.5000 0.0000  0.01
Cs 0.5000 0.0000 0.0000  0.01
As 0.0000 0.0000 0.0000  0.12
Rb 0.0000 0.0000 0.5000  0.00
Cd 0.5000 0.5000 0.5000  0.00

ΔE to the lowest computed polymorph, meV/atom: 44
DFT total energy, eV for the cell shown: -8.46
Calculated formation energy, kJ/mol of atoms: -4
Symmetry: No. 123



# 5
Sm6Ir2CI3 | PBE | optimized geometry

abc: 7.0981 7.0981 8.2359
angles: 98.17 98.17 119.96
Positions (direct):
Sm 0.9426 0.6310 0.8243
Sm 0.7449 0.7449 0.1765
Sm 0.0574 0.3690 0.1757
Sm 0.6310 0.9426 0.8243
Sm 0.2551 0.2551 0.8235
Sm 0.3690 0.0574 0.1757
Ir 0.3330 0.6670 0.0000
Ir 0.6670 0.3330 0.0000
C 0.0000 0.0000 0.0000
I 0.1660 0.8340 0.5000
I 0.8340 0.1660 0.5000
I 0.5000 0.5000 0.5000

Energy relative to the elements, uncorrected, eV per atom: -0.837
DFT total energy, eV for the cell shown: -69.96
Symmetry: No. 12



# 6
AlGa2P2 | PBE | optimized geometry

abc: 7.1838 7.1838 3.7274
angles: 90.00 90.00 90.00
Positions (direct):
P 0.2668 0.7668 0.0000
P 0.7668 0.7332 0.0000
P 0.7332 0.2332 0.0000
P 0.2332 0.2668 0.0000
Al 0.0000 0.0000 0.0000
Al 0.5000 0.5000 0.0000
Ga 0.1206 0.6206 0.5000
Ga 0.6206 0.8794 0.5000
Ga 0.8794 0.3794 0.5000
Ga 0.3794 0.1206 0.5000

ΔE to the lowest computed polymorph, meV/atom: 0
DFT total energy, eV for the cell shown: -40.63
Calculated formation energy, kJ/mol of atoms: 6
Symmetry: No. 127



# 7
CaTc | PBE | optimized geometry

abc: 4.1178 4.1188 8.2810
angles: 103.93 90.20 119.97
Positions (direct):
Ca 0.5901 0.1765 0.7716
Ca 0.4099 0.8235 0.2284
Tc 0.8400 0.6797 0.5200
Tc 0.1600 0.3203 0.4800

ΔE to the lowest computed polymorph, meV/atom: 0
DFT total energy, eV for the cell shown: -23.88
Calculated formation energy, kJ/mol of atoms: 21
Symmetry: No. 2



# 8
Pu2ThSi | PBE | optimized geometry

abc: 3.8301 3.8301 6.5179
angles: 90.00 90.00 90.00
Each line ends with the local moment (μB).
Positions (direct):
Si 0.5000 0.5000 0.0000  -0.10
Th 0.5000 0.5000 0.5000  0.31
Pu 0.0000 0.0000 0.7897  5.15
Pu 0.0000 0.0000 0.2103  5.15

ΔE to the lowest computed polymorph, meV/atom: 44
Energy relative to the elements, uncorrected, eV per atom: -0.183
DFT total energy, eV for the cell shown: -42.24
Symmetry: No. 123



# 9
TiNbV2As | PBE | optimized geometry

abc: 4.3113 4.9344 4.3113
angles: 90.00 90.00 90.00
Positions (direct):
Nb 0.0000 0.5000 0.0000
Ti 0.0000 0.0000 0.0000
As 0.5000 0.5000 0.5000
V 0.0000 0.0000 0.5000
V 0.5000 0.0000 0.0000

DFT total energy, eV for the cell shown: -35.12
Calculated formation energy, kJ/mol of atoms: 111
Symmetry: No. 123



# 10
La3AlH3 | PBE | optimized geometry

abc: 6.6424 6.6424 6.6424
angles: 90.00 90.00 90.00
Each line ends with the local moment (μB).
Positions (direct):
H 0.2500 0.0000 0.5000  0.00
H 0.0000 0.5000 0.2500  0.00
H 0.5000 0.7500 0.0000  0.00
H 0.7500 0.0000 0.5000  0.00
H 0.0000 0.5000 0.7500  0.00
H 0.5000 0.2500 0.0000  0.00
Al 0.5000 0.5000 0.5000  -0.01
Al 0.0000 0.0000 0.0000  -0.01
La 0.0000 0.2500 0.5000  0.16
La 0.0000 0.7500 0.5000  0.16
La 0.5000 0.0000 0.7500  0.16
La 0.7500 0.5000 0.0000  0.16
La 0.5000 0.0000 0.2500  0.16
La 0.2500 0.5000 0.0000  0.16

DFT total energy, eV for the cell shown: -62.53
Symmetry: No. 223



# 11
CdPdAu4 | PBE | optimized geometry

abc: 5.4624 7.9379 5.7128
angles: 90.00 90.00 117.11
Positions (direct):
Cd 0.7654 0.9940 0.7500
Cd 0.2346 0.0060 0.2500
Pd 0.7860 0.6519 0.7500
Pd 0.2140 0.3481 0.2500
Au 0.2504 0.3528 0.7500
Au 0.7496 0.6472 0.2500
Au 0.2699 0.0022 0.7500
Au 0.7301 0.9978 0.2500
Au 0.2757 0.6795 0.0001
Au 0.7243 0.3205 0.5001
Au 0.2757 0.6795 0.4999
Au 0.7243 0.3205 0.9999

ΔE to the lowest computed polymorph, meV/atom: 29
DFT total energy, eV for the cell shown: -39.25
Calculated formation energy, kJ/mol of atoms: -7
Symmetry: No. 11



# 12
CsY2S3 | PBE | optimized geometry

abc: 4.4739 8.2945 10.8171
angles: 90.00 90.00 105.65
Positions (direct):
Cs 0.2655 0.5310 0.2500
Cs 0.7345 0.4690 0.7500
Y 0.0000 0.0000 0.0000
Y 0.0000 0.0000 0.5000
Y 0.5306 0.0612 0.2500
Y 0.4694 0.9388 0.7500
S 0.6107 0.2215 0.0418
S 0.0523 0.1046 0.7500
S 0.6107 0.2215 0.4582
S 0.9477 0.8954 0.2500
S 0.3893 0.7785 0.9582
S 0.3893 0.7785 0.5418

Energy relative to the elements, uncorrected, eV per atom: -1.675
DFT total energy, eV for the cell shown: -72.43
Symmetry: No. 63



Which formula does entry 6 have? AlGa2P2